Computed, not measured: crystalline AlSiAsS at its relaxed geometry at the PBE level of DFT.

Calculated values
V, Å³/cell: 102.8
Space group: P3m1
Formation energy (no corrections), kJ/mol of formula units: -187
Total magnetic moment, μB/f.u.: 0.0
Total energy, eV/atom: -4.969

Unit cell a=3.665 b=3.665 c=8.839 alpha=90.04 beta=90.04 gamma=60.00
Atoms (fractional coordinates):
Al 0.239 0.239 0.204
Si 0.239 0.239 0.480
As 0.906 0.906 0.608
S 0.572 0.572 0.091